Density functional theory data (PBEsol) for a relaxed structure of ZrCdAs2.

Computed properties:
Formation enthalpy at 0 K in eV per atom: -0.32

Lattice parameters (Å, degrees): 3.849 4.923 8.624 90.00 90.00 90.00
Space group Cmmm (No. 65)
One atom of each set of equivalent atoms:
Zr1 0.000 0.000 0.000 x2
Cd1 0.000 0.000 0.500 x2
As1 0.000 0.500 0.220 x4

=====

Density functional theory data (PBEsol) for a relaxed structure of ZrCdAs2.

Computed properties:
Formation enthalpy at 0 K in eV per atom: -0.28

Lattice parameters (Å, degrees): 3.941 4.673 8.251 90.00 90.00 90.00
Space group Immm (No. 71)
One atom of each set of equivalent atoms:
Zr1 0.000 0.000 0.000 x2
Cd1 0.000 0.000 0.500 x2
As1 0.000 0.500 0.251 x4

=====

Density functional theory data (PBEsol) for a relaxed structure of Zr2CdAs.

Computed properties:
E above lowest polymorph in eV/atom: 0.000
Formation enthalpy at 0 K in eV per atom: -0.46

Lattice parameters (Å, degrees): 9.461 3.974 4.846 90.00 120.34 90.00
Space group C2/m (No. 12)
One atom of each set of equivalent atoms:
Zr1 0.232 0.000 0.231 x4
Cd1 0.000 0.000 0.500 x2
As1 0.000 0.500 0.000 x2

=====

Density functional theory data (PBEsol) for a relaxed structure of Zr2CdAs.

Computed properties:
E above lowest polymorph in eV/atom: 0.645
Formation enthalpy at 0 K in eV per atom: 0.18

Lattice parameters (Å, degrees): 6.846 6.846 6.846 90.00 90.00 90.00
Space group F-43m (No. 216)
One atom of each set of equivalent atoms:
Zr1 0.000 0.000 0.000 x4
Zr2 0.250 0.250 0.250 x4
Cd1 0.250 0.250 0.750 x4
As1 0.000 0.000 0.500 x4

=====

Density functional theory data (PBEsol) for a relaxed structure of Zr2CdAs.

Computed properties:
E above lowest polymorph in eV/atom: 0.360
Formation enthalpy at 0 K in eV per atom: -0.10

Lattice parameters (Å, degrees): 3.2179 3.2179 28.2870 90.00 90.00 120.00
Space group R3m (No. 160, hexagonal axes)
One atom of each set of equivalent atoms:
Zr1 0.0000 0.0000 0.0000 x3
Zr2 0.0000 0.0000 0.2461 x3
Cd1 0.0000 0.0000 0.4909 x3
As1 0.0000 0.0000 0.7417 x3

=====

Density functional theory data (PBEsol) for a relaxed structure of ZrCdAs2.

Computed properties:
Formation enthalpy at 0 K in eV per atom: -0.10

Lattice parameters (Å, degrees): 3.770 4.543 9.554 90.00 90.00 90.00
Space group Cmm2 (No. 35)
One atom of each set of equivalent atoms:
Zr1 0.000 0.000 0.000 x2
Cd1 0.000 0.500 0.749 x2
As1 0.000 0.000 0.524 x2
As2 0.000 0.500 0.212 x2

=====

Density functional theory data (PBEsol) for a relaxed structure of Ce4As3.

Computed properties:
Formation enthalpy at 0 K in eV per atom: -1.15

Lattice parameters (Å, degrees): 8.739 8.739 8.739 90.00 90.00 90.00
Space group I-43d (No. 220)
One atom of each set of equivalent atoms:
Ce1 0.072 0.428 0.572 x16
As1 0.000 0.250 0.875 x12

=====

Density functional theory data (PBEsol) for a relaxed structure of CeAs3.

Computed properties:
Formation enthalpy at 0 K in eV per atom: -0.73

Lattice parameters (Å, degrees): 4.286 4.286 4.286 90.00 90.00 90.00
Space group Pm-3m (No. 221)
One atom of each set of equivalent atoms:
Ce1 0.000 0.000 0.000 x1
As1 0.000 0.500 0.500 x3

=====

Density functional theory data (PBEsol) for a relaxed structure of CeAs.

Computed properties:
Formation enthalpy at 0 K in eV per atom: -1.36

Lattice parameters (Å, degrees): 5.870 5.870 5.870 90.00 90.00 90.00
Space group Fm-3m (No. 225)
One atom of each set of equivalent atoms:
Ce1 0.000 0.000 0.000 x4
As1 0.000 0.000 0.500 x4

=====

Density functional theory data (PBEsol) for a relaxed structure of Cs2CeAsS3Cl2.

Computed properties:
Energy relative to the elements, uncorrected in eV per atom: -1.451

Lattice parameters (Å, degrees): 17.573 6.490 9.293 90.00 90.00 90.00
Space group Pnma (No. 62)
One atom of each set of equivalent atoms:
Cs1 0.071 0.250 0.039 x4
Cs2 0.220 0.750 0.838 x4
Ce1 0.056 0.750 0.433 x4
As1 0.137 0.250 0.626 x4
S1 0.061 0.509 0.698 x8
S2 0.089 0.250 0.401 x4
Cl1 0.106 0.750 0.142 x4
Cl2 0.217 0.750 0.471 x4

=====

Density functional theory data (PBEsol) for a relaxed structure of CeCo2As2.

Computed properties:
Formation enthalpy at 0 K in eV per atom: -0.76

Lattice parameters (Å, degrees): 3.965 3.965 9.981 90.00 90.00 90.00
Space group I4/mmm (No. 139)
One atom of each set of equivalent atoms:
Ce1 0.000 0.000 0.000 x2
Co1 0.000 0.500 0.250 x4
As1 0.000 0.000 0.368 x4

=====

Density functional theory data (PBEsol) for a relaxed structure of CeNi2As2.

Computed properties:
Formation enthalpy at 0 K in eV per atom: -0.87

Lattice parameters (Å, degrees): 4.167 4.167 9.136 90.00 90.00 90.00
Space group P4/nmm (No. 129, origin choice 2)
One atom of each set of equivalent atoms:
Ce1 0.250 0.250 0.246 x2
Ni1 0.250 0.250 0.618 x2
Ni2 0.250 0.750 0.000 x2
As1 0.250 0.250 0.871 x2
As2 0.250 0.750 0.500 x2